Computed, not measured: crystalline Tb3Pr2Mg3 at its relaxed geometry at the PBE level of DFT.

Output
V, Å³ per atom: 29.90
Formation energy from the elements, eV/atom: -0.0480
DFT total energy, eV per cell: -28.6

Cell and atoms, written as POSCAR:
```
Tb3Pr2Mg3
1.0
-2.560 -1.714 -2.312
0.980 -4.787 2.465
-7.441 5.428 7.424
Pr Tb Mg
2 3 3
Direct
0.267 0.767 0.533
0.733 0.233 0.467
0.379 0.379 0.758
0.500 0.000 0.000
0.621 0.621 0.242
0.113 0.113 0.227
0.000 0.500 0.000
0.887 0.887 0.773
```

---

Computed, not measured: crystalline Tb6Pr5Mg2 at its relaxed geometry at the PBE level of DFT.

Output
V, Å³ per atom: 33.26
Formation energy from the elements, eV/atom: 0.1282
DFT total energy, eV per cell: -106.4

Cell and atoms, written as POSCAR:
```
Tb6Pr5Mg2
1.0
3.588 0.000 0.000
0.000 10.617 0.000
0.000 0.000 22.697
Pr Mg Tb
10 4 12
Direct
0.500 0.832 0.006
0.500 0.168 0.994
0.500 0.919 0.751
0.500 0.500 0.000
0.500 0.332 0.494
0.500 0.000 0.500
0.500 0.668 0.506
0.500 0.419 0.749
0.500 0.581 0.251
0.500 0.081 0.249
0.000 0.832 0.238
0.000 0.168 0.762
0.000 0.332 0.262
0.000 0.668 0.738
0.500 0.331 0.135
0.000 0.356 0.882
0.500 0.169 0.635
0.000 0.481 0.614
0.000 0.981 0.886
0.000 0.019 0.114
0.500 0.669 0.865
0.500 0.831 0.365
0.000 0.644 0.118
0.000 0.856 0.618
0.000 0.519 0.386
0.000 0.144 0.382
```